Record 1
Na3AgAu4: relaxed, PBE-GGA.

Properties
Space-group type: P-1, No. 2
Size of the total moment, μB/cell: 0.0
Theoretical density, g/cm3: 10.33
Density of states at the Fermi level, states/eV/cell: 1.5
Final energy, eV for the cell shown: -21.61
DFT formation energy, eV per atom: -0.211

Lattice parameters (Å, degrees): 7.9341 7.9197 7.3177 157.62 105.05 67.25
Closest atoms and distances in Å follow each position.
Atoms (fractional coordinates):
Au 0.6375 0.8813 0.7483  4 Au 2.91-3.01, 2 Ag 2.99, 6 Na 3.00-3.09
Au 0.8868 0.6322 0.2519  4 Au 2.91-3.01, 2 Ag 2.99-3.00, 6 Na 3.01-3.09
Au 0.1510 0.3678 0.7481  4 Au 2.91-3.01, 2 Ag 2.99-3.00, 6 Na 3.01-3.08
Au 0.4003 0.1187 0.2517  4 Au 2.91-3.01, 2 Ag 2.99, 6 Na 3.00-3.09
Na 0.0187 0.0002 0.0001  4 Na 2.92-3.01, 8 Au 3.07-3.09
Na 0.7700 0.2487 0.4982  3 Na 2.92-3.01, 1 Ag 2.94, 8 Au 3.00-3.09
Na 0.2680 0.7510 0.5016  3 Na 2.92-3.01, 1 Ag 2.94, 8 Au 3.00-3.09
Ag 0.5188 0.5001 0.0000  2 Na 2.94, 8 Au 2.99-3.00, 2 Ag 3.01

=====

Record 2
Na4AgAu2: relaxed, PBE-GGA.

Properties
Space-group type: Cmmm, No. 65
Size of the total moment, μB/cell: 0.0
Theoretical density, g/cm3: 5.81
Density of states at the Fermi level, states/eV/cell: 1.4
Final energy, eV for the cell shown: -15.99
DFT formation energy, eV per atom: -0.186

Lattice parameters (Å, degrees): 4.5572 6.1402 6.1402 99.13 90.00 90.00
Closest atoms and distances in Å follow each position.
Atoms (fractional coordinates):
Na 0.5000 0.5000 0.0000  4 Au 3.07, 2 Ag 3.07, 4 Na 3.29
Na 0.5000 0.0000 0.5000  4 Au 3.07, 2 Ag 3.07, 4 Na 3.29
Na 0.0000 0.1970 0.1970  4 Au 3.04-3.23, 5 Na 3.14-3.29, 2 Ag 3.32
Na 0.0000 0.8030 0.8030  4 Au 3.04-3.23, 5 Na 3.14-3.29, 2 Ag 3.32
Au 0.0000 0.6977 0.3023  2 Ag 2.93, 8 Na 3.04-3.23
Au 0.0000 0.3023 0.6977  2 Ag 2.93, 8 Na 3.04-3.23
Ag 0.5000 0.5000 0.5000  4 Au 2.93, 4 Na 3.07

=====

Record 3
Na6AgAu2: relaxed, PBE-GGA.

Properties
Space-group type: P2_1/c, No. 14
Size of the total moment, μB/cell: 0.0
Energy above the lowest structure with this stoichiometry, meV per atom: 35
Theoretical density, g/cm3: 4.67
Density of states at the Fermi level, states/eV/cell: 5.6
Final energy, eV for the cell shown: -37.13
DFT formation energy, eV per atom: -0.138

Lattice parameters (Å, degrees): 5.4372 9.0691 9.4696 90.00 76.92 90.00
Closest atoms and distances in Å follow each position.
Atoms (fractional coordinates):
Au 0.4307 0.1236 0.2670  1 Ag 3.05, 8 Na 3.05-3.37
Au 0.9307 0.3764 0.7670  1 Ag 3.05, 8 Na 3.05-3.37
Au 0.5693 0.8764 0.7330  1 Ag 3.05, 8 Na 3.05-3.37
Au 0.0693 0.6236 0.2330  1 Ag 3.05, 8 Na 3.05-3.37
Ag 0.5000 0.5000 0.0000  8 Na 2.93-3.25, 2 Au 3.05
Ag 0.0000 0.0000 0.5000  8 Na 2.93-3.25, 2 Au 3.05
Na 0.0201 0.3278 0.4377  1 Ag 3.03, 3 Au 3.06-3.29, 3 Na 3.16-3.33
Na 0.9821 0.3342 0.0790  2 Au 3.05-3.09, 2 Ag 3.13-3.25, 4 Na 3.15-3.34
Na 0.4611 0.5143 0.6962  1 Ag 2.93, 2 Au 3.05-3.08, 2 Na 3.15-3.16
Na 0.5179 0.8342 0.4210  2 Au 3.05-3.09, 2 Ag 3.13-3.25, 4 Na 3.15-3.34
Na 0.9799 0.6722 0.5623  1 Ag 3.03, 3 Au 3.06-3.29, 3 Na 3.16-3.33
Na 0.0389 0.0143 0.8038  1 Ag 2.93, 2 Au 3.05-3.08, 2 Na 3.15-3.16
Na 0.4799 0.8278 0.0623  1 Ag 3.03, 3 Au 3.06-3.29, 3 Na 3.16-3.33
Na 0.0179 0.6658 0.9210  2 Au 3.05-3.09, 2 Ag 3.13-3.25, 4 Na 3.15-3.34
Na 0.5389 0.4857 0.3038  1 Ag 2.93, 2 Au 3.05-3.08, 2 Na 3.15-3.16
Na 0.9611 0.9857 0.1962  1 Ag 2.93, 2 Au 3.05-3.08, 2 Na 3.15-3.16
Na 0.5201 0.1722 0.9377  1 Ag 3.03, 3 Au 3.06-3.29, 3 Na 3.16-3.33
Na 0.4821 0.1658 0.5790  2 Au 3.05-3.09, 2 Ag 3.13-3.25, 4 Na 3.15-3.34